Compound: SrDyMg
Source: Alexandria
Functional: PBE
Structure: relaxed

Properties
SG: No. 139
Uncorrected energy (eV per atom): -2.59
Formation energy (eV/atom): 0.038

Cell: 3.842 3.842 14.934 Å, 97.39 97.39 90.00°
Sites, in units of the cell vectors:
Dy  0.288  0.288  0.575
Dy  0.712  0.712  0.425
Mg  0.149  0.149  0.297
Mg  0.851  0.851  0.703
Sr  0.569  0.569  0.138
Sr  0.431  0.431  0.862

***

Compound: SrDy4Mg5
Source: Alexandria
Functional: PBE
Structure: relaxed

Properties
SG: No. 123
Uncorrected energy (eV per atom): -2.87
Formation energy (eV/atom): -0.066

Cell: 3.835 3.835 19.612 Å, 90.00 90.00 90.00°
Sites, in units of the cell vectors:
Sr  0.000  0.000  0.000
Dy  0.000  0.000  0.218
Dy  0.000  0.000  0.405
Dy  0.000  0.000  0.595
Dy  0.000  0.000  0.782
Mg  0.500  0.500  0.121
Mg  0.500  0.500  0.311
Mg  0.500  0.500  0.500
Mg  0.500  0.500  0.689
Mg  0.500  0.500  0.879

***

Compound: SrDyMg
Source: Alexandria
Functional: PBE
Structure: relaxed

Properties
SG: No. 156
Uncorrected energy (eV per atom): -2.44
Formation energy (eV/atom): 0.182

Cell: 3.532 5.769 5.769 Å, 120.00 90.00 90.00°
Sites, in units of the cell vectors:
Sr  0.689  0.333  0.667
Mg  0.007  0.000  0.000
Dy  0.304  0.667  0.333

***

Compound: SrDyMg2
Source: Alexandria
Functional: PBE
Structure: relaxed

Properties
SG: No. 225
Uncorrected energy (eV per atom): -2.37
Formation energy (eV/atom): 0.003

Cell: 5.626 5.626 5.626 Å, 60.00 60.00 60.00°
Sites, in units of the cell vectors:
Sr  0.500  0.500  0.500
Mg  0.250  0.250  0.250
Mg  0.750  0.750  0.750
Dy  0.000  0.000  0.000

***

Compound: SrDy2Mg
Source: Alexandria
Functional: PBE
Structure: relaxed

Properties
SG: No. 166
Uncorrected energy (eV per atom): -2.84
Formation energy (eV/atom): 0.277

Cell: 3.583 3.583 12.559 Å, 81.80 81.80 60.00°
Sites, in units of the cell vectors:
Sr  0.000  0.000  0.000
Mg  0.500  0.500  0.500
Dy  0.096  0.096  0.711
Dy  0.904  0.904  0.289

***

Compound: SrDy2Mg9
Source: Alexandria
Functional: PBE
Structure: relaxed

Properties
SG: No. 166
Uncorrected energy (eV per atom): -2.16
Formation energy (eV/atom): -0.055

Cell: 6.135 6.135 10.523 Å, 73.05 73.05 60.00°
Sites, in units of the cell vectors:
Sr  0.000  0.000  0.000
Dy  0.852  0.852  0.444
Dy  0.148  0.148  0.556
Mg  0.666  0.666  0.003
Mg  0.334  0.334  0.997
Mg  0.500  0.500  0.500
Mg  0.412  0.412  0.258
Mg  0.919  0.412  0.258
Mg  0.412  0.919  0.258
Mg  0.588  0.588  0.742
Mg  0.588  0.081  0.742
Mg  0.081  0.588  0.742

***

Compound: SrDyMg17
Source: Alexandria
Functional: PBE
Structure: relaxed

Properties
SG: No. 160
Uncorrected energy (eV per atom): -1.79
Formation energy (eV/atom): -0.031

Cell: 7.863 7.863 7.863 Å, 82.40 82.40 82.40°
Sites, in units of the cell vectors:
Sr  0.664  0.664  0.664
Dy  0.329  0.329  0.329
Mg  0.300  0.004  0.696
Mg  0.696  0.300  0.004
Mg  0.004  0.696  0.300
Mg  0.300  0.696  0.004
Mg  0.004  0.300  0.696
Mg  0.696  0.004  0.300
Mg  0.347  0.852  0.347
Mg  0.347  0.347  0.852
Mg  0.852  0.347  0.347
Mg  0.644  0.169  0.644
Mg  0.644  0.644  0.169
Mg  0.169  0.644  0.644
Mg  0.998  0.503  0.998
Mg  0.998  0.998  0.503
Mg  0.503  0.998  0.998
Mg  0.903  0.903  0.903
Mg  0.101  0.101  0.101

***

Compound: Sr3Dy3MgTe8
Source: Alexandria
Functional: PBE
Structure: relaxed

Properties
SG: No. 166
Uncorrected energy (eV per atom): -4.46
Energy relative to the elements, uncorrected (eV per formula unit): -21.336

Cell: 8.897 8.897 9.179 Å, 118.98 90.00 120.00°
Sites, in units of the cell vectors:
Sr  0.000  0.000  0.000
Sr  0.000  0.500  0.000
Sr  0.500  0.500  0.000
Dy  0.500  0.000  0.500
Dy  0.500  0.500  0.500
Dy  0.000  0.500  0.500
Mg  0.000  0.000  0.500
Te  0.257  0.513  0.270
Te  0.743  0.487  0.730
Te  0.760  0.521  0.276
Te  0.240  0.479  0.724
Te  0.760  0.016  0.276
Te  0.240  0.984  0.724
Te  0.256  0.016  0.276
Te  0.744  0.984  0.724